{"formula": "NaSr3Hg8", "functional": "GGA-PBE", "state": "relaxed", "spacegroup": "I-42m, No. 121", "formation_enthalpy_0k_ev_per_atom": -0.246, "lattice": [[-6.2562, 5.0890, -0.5362], [-1.5017, -7.5437, -2.4824], [2.4439, -1.6384, 7.5278]], "species": ["Hg", "Hg", "Hg", "Hg", "Hg", "Hg", "Hg", "Hg", "Sr", "Sr", "Sr", "Na"], "fractional_positions": [[0.7280, 0.0921, 0.0921], [0.0000, 0.2688, 0.7923], [0.2720, 0.3641, 0.3641], [0.0000, 0.6359, 0.9079], [0.5235, 0.7312, 0.7312], [0.0000, 0.9079, 0.6359], [0.4765, 0.2077, 0.2077], [0.0000, 0.7923, 0.2688], [0.0000, 0.5000, 0.5000], [0.5000, 0.2500, 0.7500], [0.5000, 0.7500, 0.2500], [0.0000, 0.0000, 0.0000]]}